Version i
Cr3NiO | GGA+U | optimized geometry

Lattice parameters (Å, degrees): 4.6177 4.6177 4.6177 90.00 90.00 90.00
Last column: nearest neighbours and their distance in Å.
Element x y z (fractional)
Ni (0.0000, 0.0000, 0.0000)  6 Cr 2.31
O (0.5000, 0.5000, 0.5000)  12 Cr 3.27
Cr (0.0000, 0.5000, 0.0000)  2 Ni 2.31
Cr (0.0000, 0.0000, 0.5000)  2 Ni 2.31
Cr (0.5000, 0.0000, 0.0000)  2 Ni 2.31

Summary:
* total magnetization: 2.77 μB per atom

***

Version ii
Cr3NiO | GGA+U | optimized geometry

Lattice parameters (Å, degrees): 4.2131 4.2131 4.2131 90.00 90.00 90.00
Last column: nearest neighbours and their distance in Å.
Element x y z (fractional)
Ni (0.5000, 0.5000, 0.5000)  12 Cr 2.98
O (0.0000, 0.0000, 0.0000)  6 Cr 2.11
Cr (0.0000, 0.5000, 0.0000)  2 O 2.11
Cr (0.0000, 0.0000, 0.5000)  2 O 2.11
Cr (0.5000, 0.0000, 0.0000)  2 O 2.11

Summary:
* total magnetization: 2.71 μB per atom

***

The structure with the least stability is version i.

***

Version i
Cr2NiO | GGA+U | optimized geometry

Lattice parameters (Å, degrees): 5.4148 5.4148 6.4623 65.23 65.23 90.00
Last column: nearest neighbours and their distance in Å.
Element x y z (fractional)
Ni (0.0000, 0.0000, 0.0000)  4 Cr 2.82
Ni (0.7500, 0.2500, 0.5000)  4 Cr 2.82
O (0.5000, 0.5000, 0.0000)  4 Cr 1.97
O (0.2500, 0.7500, 0.5000)  4 Cr 1.97
Cr (0.4863, 0.1250, 0.2500)  2 O 1.97
Cr (0.2637, 0.6250, 0.2500)  2 O 1.97
Cr (0.3750, 0.5137, 0.7500)  2 O 1.97
Cr (0.8750, 0.7363, 0.7500)  2 O 1.97

Summary:
* total magnetization: 1.86 μB per atom

***

Version ii
Cr2NiO | GGA+U | optimized geometry

Lattice parameters (Å, degrees): 4.0871 4.0871 4.0871 60.00 60.00 60.00
Last column: nearest neighbours and their distance in Å.
Element x y z (fractional)
Ni (0.5000, 0.5000, 0.5000)  8 Cr 2.50
O (0.0000, 0.0000, 0.0000)  8 Cr 2.50
Cr (0.2500, 0.2500, 0.2500)  4 O 2.50, 4 Ni 2.50
Cr (0.7500, 0.7500, 0.7500)  4 O 2.50, 4 Ni 2.50

Summary:
* total magnetization: 0.02 μB per atom

***

The structure with the least stability is version ii.

***

Version i
CrNiP2O | GGA+U | optimized geometry

Lattice parameters (Å, degrees): 4.7994 4.7994 3.4598 90.00 90.00 90.00
Last column: nearest neighbours and their distance in Å.
Element x y z (fractional)
Ni (0.5000, 0.5000, 0.5000)  8 P 2.96
O (0.0000, 0.0000, 0.5000)  2 Cr 1.73
P (0.0000, 0.5000, 0.0000)  2 Cr 2.40
P (0.5000, 0.0000, 0.0000)  2 Cr 2.40
Cr (0.0000, 0.0000, 0.0000)  2 O 1.73

Summary:
* total magnetization: 0.51 μB per atom

***

Version ii
CrNiP2O | GGA+U | optimized geometry

Lattice parameters (Å, degrees): 4.6129 4.6129 3.4627 90.00 90.00 90.00
Last column: nearest neighbours and their distance in Å.
Element x y z (fractional)
Ni (0.0000, 0.0000, 0.0000)  2 O 1.73
O (0.0000, 0.0000, 0.5000)  2 Ni 1.73
P (0.0000, 0.5000, 0.0000)  2 Ni 2.31
P (0.5000, 0.0000, 0.0000)  2 Ni 2.31
Cr (0.5000, 0.5000, 0.5000)  8 P 2.88

Summary:
* total magnetization: 0.67 μB per atom

***

The structure with the least stability is version ii.

***

Version i
CrNiPO2 | GGA+U | optimized geometry

Lattice parameters (Å, degrees): 3.5830 3.5830 5.2887 90.00 90.00 90.00
Last column: nearest neighbours and their distance in Å.
Element x y z (fractional)
Ni (0.5000, 0.5000, 0.5000)  4 P 2.53
O (0.0000, 0.5000, 0.0000)  2 Cr 1.79
O (0.5000, 0.0000, 0.0000)  2 Cr 1.79
P (0.0000, 0.0000, 0.5000)  4 Ni 2.53, 2 Cr 2.64
Cr (0.0000, 0.0000, 0.0000)  4 O 1.79

Summary:
* total magnetization: 0.26 μB per atom

***

Version ii
CrNiPO2 | GGA+U | optimized geometry

Lattice parameters (Å, degrees): 3.6881 3.6881 4.6477 90.00 90.00 90.00
Last column: nearest neighbours and their distance in Å.
Element x y z (fractional)
Ni (0.0000, 0.0000, 0.0000)  4 O 1.84
O (0.0000, 0.5000, 0.0000)  2 Ni 1.84
O (0.5000, 0.0000, 0.0000)  2 Ni 1.84
P (0.0000, 0.0000, 0.5000)  2 Ni 2.32
Cr (0.5000, 0.5000, 0.5000)  4 P 2.61

Summary:
* total magnetization: 0.59 μB per atom

***

The structure with the least stability is version ii.